## HfGa3F (GGA-PBE)

Data for an optimized crystal structure of HfGa3F.

abc: 4.4050 4.4050 4.4050
angles: 90.00 90.00 90.00
Element x y z (fractional)
Ga 0.5000 0.0000 0.0000
Ga 0.0000 0.5000 0.0000
Ga 0.0000 0.0000 0.5000
F 0.0000 0.0000 0.0000
Hf 0.5000 0.5000 0.5000

Properties
As for the energy: -4.6423 eV/atom. Its energy relative to the lowest polymorph listed for this composition is 0 meV per atom. The value obtained for the calculated volume is 17.1 Å³/atom. For the raw formation energy, the calculation gives -0.461 eV/atom.